Compound: Li2P
Source: Alexandria
Functional: PBE
Structure: optimized geometry

Summary:
The calculation puts the energy above the most stable polymorph in this dataset at 0.210 eV/atom. The total energy is -3.4386 eV/atom. Its total magnetization is 0.00 μB/f.u.

Cell: 3.8505 3.8505 22.6733 Å, 90.00 90.00 90.00°
Space group I4_1/amd (No. 141, origin choice 2)
Inequivalent atoms, fractional coordinates:
Li (0.0000, 0.2500, 0.1199)
Li (0.0000, 0.2500, 0.7834)
P (0.0000, 0.2500, 0.2994)

Compound: LiP
Source: Alexandria
Functional: PBE
Structure: optimized geometry

Summary:
The calculation puts the energy above the most stable polymorph in this dataset at 0.158 eV/atom. The total energy is -4.0252 eV/atom. Its total magnetization is 0.00 μB/f.u.

Cell: 11.7171 2.6959 4.2143 Å, 90.00 111.08 90.00°
Space group C2/m (No. 12)
Inequivalent atoms, fractional coordinates:
Li (0.1559, 0.0000, 0.1586)
P (0.1027, 0.5000, 0.6054)

Compound: LiP
Source: Alexandria
Functional: PBE
Structure: optimized geometry

Summary:
The calculation puts the energy above the most stable polymorph in this dataset at 0.160 eV/atom. The total energy is -4.0232 eV/atom. Its total magnetization is 0.00 μB/f.u.

Cell: 10.4482 10.4482 3.2966 Å, 90.00 90.00 90.00°
Space group I4/m (No. 87)
Inequivalent atoms, fractional coordinates:
Li (0.0483, 0.7645, 0.0000)
P (0.1844, 0.2808, 0.0000)

Compound: LiP8
Source: Alexandria
Functional: PBE
Structure: optimized geometry

Summary:
The total energy is -4.6542 eV/atom. Its total magnetization is 0.00 μB/f.u.

Cell: 10.1823 10.1823 3.8224 Å, 90.00 90.00 90.00°
Space group I4/mmm (No. 139)
Inequivalent atoms, fractional coordinates:
Li (0.0000, 0.0000, 0.0000)
P (0.0000, 0.3889, 0.0000)
P (0.1082, 0.1082, 0.5000)

Compound: LiP
Source: Alexandria
Functional: PBE
Structure: optimized geometry

Summary:
The calculation puts the energy above the most stable polymorph in this dataset at 1.204 eV/atom. The total energy is -2.9798 eV/atom. Its total magnetization is 0.00 μB/f.u.

Cell: 5.5358 5.5358 5.5358 Å, 90.00 90.00 90.00°
Space group F-43m (No. 216)
Inequivalent atoms, fractional coordinates:
Li (0.0000, 0.0000, 0.0000)
P (0.2500, 0.2500, 0.7500)

Compound: LiP
Source: Alexandria
Functional: PBE
Structure: optimized geometry

Summary:
The calculation puts the energy above the most stable polymorph in this dataset at 0.494 eV/atom. The total energy is -3.6899 eV/atom. Its total magnetization is 0.00 μB/f.u.

Cell: 2.4709 2.4709 10.4666 Å, 90.00 90.00 90.00°
Space group P4/nmm (No. 129, origin choice 2)
Inequivalent atoms, fractional coordinates:
Li (0.2500, 0.2500, 0.1255)
P (0.2500, 0.2500, 0.6897)

Compound: LiP
Source: Alexandria
Functional: PBE
Structure: optimized geometry

Summary:
The calculation puts the energy above the most stable polymorph in this dataset at 0.359 eV/atom. The total energy is -3.8241 eV/atom. Its total magnetization is 0.00 μB/f.u.

Cell: 3.4249 3.4249 4.9202 Å, 90.00 90.00 90.00°
Space group P4/nmm (No. 129, origin choice 2)
Inequivalent atoms, fractional coordinates:
Li (0.2500, 0.2500, 0.1232)
P (0.2500, 0.2500, 0.5977)

Compound: LiP
Source: Alexandria
Functional: PBE
Structure: optimized geometry

Summary:
The calculation puts the energy above the most stable polymorph in this dataset at 0.393 eV/atom. The total energy is -3.7904 eV/atom. Its total magnetization is 0.00 μB/f.u.

Cell: 3.2104 3.2104 23.6703 Å, 90.00 90.00 120.00°
Space group R-3m (No. 166, hexagonal axes)
Inequivalent atoms, fractional coordinates:
Li (0.0000, 0.0000, 0.1114)
P (0.0000, 0.0000, 0.3615)

Compound: LiP
Source: Alexandria
Functional: PBE
Structure: optimized geometry

Summary:
The calculation puts the energy above the most stable polymorph in this dataset at 0.331 eV/atom. The total energy is -3.8522 eV/atom. Its total magnetization is 0.00 μB/f.u.

Cell: 3.6751 3.6751 8.2820 Å, 90.00 90.00 90.00°
Space group I4_1/amd (No. 141, origin choice 2)
Inequivalent atoms, fractional coordinates:
Li (0.0000, 0.2500, 0.3750)
P (0.0000, 0.2500, 0.8750)

Compound: LiP
Source: Alexandria
Functional: PBE
Structure: optimized geometry

Summary:
The calculation puts the energy above the most stable polymorph in this dataset at 1.167 eV/atom. The total energy is -3.0166 eV/atom. Its total magnetization is 1.25 μB/f.u.

Cell: 6.9088 6.9088 6.9088 Å, 90.00 90.00 90.00°
Space group Pm-3n (No. 223)
Inequivalent atoms, fractional coordinates:
Li (0.0000, 0.2500, 0.5000)
P (0.0000, 0.5000, 0.2500)

Compound: LiP
Source: Alexandria
Functional: PBE
Structure: optimized geometry

Summary:
The calculation puts the energy above the most stable polymorph in this dataset at 0.795 eV/atom. The total energy is -3.3881 eV/atom. Its total magnetization is 0.00 μB/f.u.

Cell: 4.2542 4.2542 4.7151 Å, 90.00 90.00 120.00°
Space group P6_3/mmc (No. 194)
Inequivalent atoms, fractional coordinates:
Li (0.3333, 0.6667, 0.2500)
P (0.3333, 0.6667, 0.7500)

Compound: LiP5
Source: Alexandria
Functional: PBE
Structure: optimized geometry

Summary:
The calculation puts the energy above the most stable polymorph in this dataset at 0.565 eV/atom. The total energy is -4.4536 eV/atom. Its total magnetization is 0.00 μB/f.u.

Cell: 4.7907 4.7907 4.5852 Å, 90.00 90.00 120.00°
Space group P-62m (No. 189)
Inequivalent atoms, fractional coordinates:
Li (0.0000, 0.0000, 0.0000)
P (0.0000, 0.7298, 0.5000)
P (0.3333, 0.6667, 0.0000)

Copy entry 12 word for word.
Compound: LiP5
Source: Alexandria
Functional: PBE
Structure: optimized geometry

Summary:
The calculation puts the energy above the most stable polymorph in this dataset at 0.565 eV/atom. The total energy is -4.4536 eV/atom. Its total magnetization is 0.00 μB/f.u.

Cell: 4.7907 4.7907 4.5852 Å, 90.00 90.00 120.00°
Space group P-62m (No. 189)
Inequivalent atoms, fractional coordinates:
Li (0.0000, 0.0000, 0.0000)
P (0.0000, 0.7298, 0.5000)
P (0.3333, 0.6667, 0.0000)